[1]
# PBE-GGA Sm4MgZn2Au, relaxed
data_Sm4MgZn2Au
_cell_length_a 5.2248
_cell_length_b 5.2248
_cell_length_c 25.7123
_cell_angle_alpha 90.00
_cell_angle_beta 90.00
_cell_angle_gamma 120.00
_space_group_name_H-M_alt 'R -3 m'
_space_group_IT_number 166
_space_group_name_Hall '-R 3 2"'
loop_
_atom_site_label
_atom_site_fract_x
_atom_site_fract_y
_atom_site_fract_z
Sm1 0.0000 0.0000 0.1197
Sm2 0.0000 0.0000 0.3715
Mg1 0.0000 0.0000 0.5000
Zn1 0.0000 0.0000 0.2398
Au1 0.0000 0.0000 0.0000
# Theoretical density: 7.81 g/cm3
# Formation energy from the elements: -0.38 eV per atom
# Calculated volume: 25.3 Å³ per atom

[2]
# PBE-GGA LiHgSe2, relaxed
data_LiHgSe2
_cell_length_a 3.7404
_cell_length_b 4.2166
_cell_length_c 11.2764
_cell_angle_alpha 90.00
_cell_angle_beta 90.00
_cell_angle_gamma 90.00
_space_group_name_H-M_alt 'I m m m'
_space_group_IT_number 71
_space_group_name_Hall '-I 2 2'
loop_
_atom_site_label
_atom_site_fract_x
_atom_site_fract_y
_atom_site_fract_z
Li1 0.0000 0.0000 0.0000
Hg1 0.0000 0.0000 0.5000
Se1 0.0000 0.5000 0.2583
# Theoretical density: 6.82 g/cm3
# Calculated volume: 22.2 Å³ per atom
# Formation energy without anion corrections: -0.172 eV per atom

[3]
# PBE-GGA KHg3Pd, relaxed
data_KHg3Pd
_cell_length_a 12.9594
_cell_length_b 4.8492
_cell_length_c 10.0159
_cell_angle_alpha 90.00
_cell_angle_beta 118.37
_cell_angle_gamma 90.00
_space_group_name_H-M_alt 'C 1 2/m 1'
_space_group_IT_number 12
_space_group_name_Hall '-C 2y'
loop_
_atom_site_label
_atom_site_fract_x
_atom_site_fract_y
_atom_site_fract_z
K1 0.2004 0.0000 0.1648
Hg1 0.0378 0.5000 0.8807
Hg2 0.0524 0.0000 0.6994
Hg3 0.2084 0.0000 0.5534
Pd1 0.0744 0.5000 0.4385
# Theoretical density: 8.96 g/cm3
# Energy above the most stable polymorph in this dataset: 0.069 eV per atom
# Formation energy from the elements: -0.17 eV per atom
# Calculated volume: 27.7 Å³ per atom

[4]
# PBE-GGA Er2In2BIr4, relaxed
data_Er2In2BIr4
_cell_length_a 6.1159
_cell_length_b 6.1159
_cell_length_c 8.4848
_cell_angle_alpha 90.00
_cell_angle_beta 90.00
_cell_angle_gamma 90.00
_space_group_name_H-M_alt 'I 4/m m m'
_space_group_IT_number 139
_space_group_name_Hall '-I 4 2'
loop_
_atom_site_label
_atom_site_fract_x
_atom_site_fract_y
_atom_site_fract_z
Er1 0.0000 0.0000 0.2066
In1 0.0000 0.5000 0.2500
B1 0.0000 0.0000 0.5000
Ir1 0.2408 0.2408 0.5000
# Theoretical density: 14.06 g/cm3
# Formation energy from the elements: -0.42 eV per atom
# Calculated volume: 17.6 Å³ per atom

[5]
# PBE-GGA CaHoPu, relaxed
data_CaHoPu
_cell_length_a 3.5077
_cell_length_b 3.5077
_cell_length_c 15.7975
_cell_angle_alpha 90.00
_cell_angle_beta 90.00
_cell_angle_gamma 90.00
_space_group_name_H-M_alt 'I 4 m m'
_space_group_IT_number 107
_space_group_name_Hall 'I 4 -2'
loop_
_atom_site_label
_atom_site_fract_x
_atom_site_fract_y
_atom_site_fract_z
Ca1 0.0000 0.0000 0.0000
Ho1 0.0000 0.0000 0.3211
Pu1 0.0000 0.0000 0.6717
# Theoretical density: 7.67 g/cm3
# Formation energy from the elements: 0.22 eV per atom
# Calculated volume: 32.4 Å³ per atom

[6]
# PBE-GGA Ac12CdNi6, relaxed
data_Ac12CdNi6
_cell_length_a 10.6902
_cell_length_b 10.6902
_cell_length_c 10.6902
_cell_angle_alpha 90.00
_cell_angle_beta 90.00
_cell_angle_gamma 90.00
_space_group_name_H-M_alt 'I m -3'
_space_group_IT_number 204
_space_group_name_Hall '-I 2 2 3'
loop_
_atom_site_label
_atom_site_fract_x
_atom_site_fract_y
_atom_site_fract_z
Ac1 0.0000 0.3119 0.1823
Cd1 0.0000 0.0000 0.0000
Ni1 0.0000 0.1182 0.5000
# Theoretical density: 8.67 g/cm3
# Formation energy from the elements: -0.22 eV per atom
# Calculated volume: 32.1 Å³ per atom

[7]
# PBE-GGA Re2AsSe2, relaxed
data_Re2AsSe2
_cell_length_a 7.3999
_cell_length_b 7.3999
_cell_length_c 3.0697
_cell_angle_alpha 90.00
_cell_angle_beta 90.00
_cell_angle_gamma 90.00
_space_group_name_H-M_alt 'P 4/m b m'
_space_group_IT_number 127
_space_group_name_Hall '-P 4 2ab'
loop_
_atom_site_label
_atom_site_fract_x
_atom_site_fract_y
_atom_site_fract_z
Re1 0.1391 0.3609 0.0000
As1 0.0000 0.0000 0.0000
Se1 0.1497 0.6497 0.5000
# Theoretical density: 11.96 g/cm3
# Energy above the most stable polymorph in this dataset: 0.000 eV per atom
# Calculated volume: 16.8 Å³ per atom
# Formation energy without anion corrections: 0.674 eV per atom

[8]
# PBE-GGA CaAsSe2, relaxed
data_CaAsSe2
_cell_length_a 4.1717
_cell_length_b 4.1717
_cell_length_c 11.4616
_cell_angle_alpha 90.00
_cell_angle_beta 90.00
_cell_angle_gamma 90.00
_space_group_name_H-M_alt 'I 4/m m m'
_space_group_IT_number 139
_space_group_name_Hall '-I 4 2'
loop_
_atom_site_label
_atom_site_fract_x
_atom_site_fract_y
_atom_site_fract_z
Ca1 0.0000 0.0000 0.0000
As1 0.0000 0.0000 0.5000
Se1 0.0000 0.0000 0.2654
# Theoretical density: 4.54 g/cm3
# Calculated volume: 24.9 Å³ per atom
# Formation energy without anion corrections: -0.513 eV per atom

[9]
# PBE-GGA Pm3AsP, relaxed
data_Pm3AsP
_cell_length_a 5.3551
_cell_length_b 5.3551
_cell_length_c 5.3551
_cell_angle_alpha 90.00
_cell_angle_beta 90.00
_cell_angle_gamma 90.00
_space_group_name_H-M_alt 'P m -3 m'
_space_group_IT_number 221
_space_group_name_Hall '-P 4 2 3'
loop_
_atom_site_label
_atom_site_fract_x
_atom_site_fract_y
_atom_site_fract_z
Pm1 0.0000 0.0000 0.5000
As1 0.5000 0.5000 0.5000
P1 0.0000 0.0000 0.0000
# Theoretical density: 5.85 g/cm3
# Energy above the most stable polymorph in this dataset: 0.467 eV per atom
# Formation energy from the elements: -0.60 eV per atom
# Calculated volume: 30.7 Å³ per atom

[10]
# PBE-GGA MnTcRh2, relaxed
data_MnTcRh2
_cell_length_a 2.7120
_cell_length_b 2.7120
_cell_length_c 26.0263
_cell_angle_alpha 90.00
_cell_angle_beta 90.00
_cell_angle_gamma 120.00
_space_group_name_H-M_alt 'R 3 m'
_space_group_IT_number 160
_space_group_name_Hall 'R 3 -2"'
loop_
_atom_site_label
_atom_site_fract_x
_atom_site_fract_y
_atom_site_fract_z
Mn1 0.0000 0.0000 0.0000
Tc1 0.0000 0.0000 0.7495
Rh1 0.0000 0.0000 0.2551
Rh2 0.0000 0.0000 0.4992
# Theoretical density: 10.78 g/cm3
# Energy above the most stable polymorph in this dataset: 0.138 eV per atom
# Formation energy from the elements: 0.04 eV per atom
# Calculated volume: 13.8 Å³ per atom

[11]
# PBE-GGA NdTm2Zn9, relaxed
data_NdTm2Zn9
_cell_length_a 5.4492
_cell_length_b 5.4492
_cell_length_c 25.6888
_cell_angle_alpha 90.00
_cell_angle_beta 90.00
_cell_angle_gamma 120.00
_space_group_name_H-M_alt 'R -3 m'
_space_group_IT_number 166
_space_group_name_Hall '-R 3 2"'
loop_
_atom_site_label
_atom_site_fract_x
_atom_site_fract_y
_atom_site_fract_z
Nd1 0.0000 0.0000 0.0000
Tm1 0.0000 0.0000 0.1412
Zn1 0.0000 0.0000 0.3352
Zn2 0.0000 0.0000 0.5000
Zn3 0.0073 0.5036 0.9162
# Theoretical density: 8.07 g/cm3
# Formation energy from the elements: -0.32 eV per atom
# Calculated volume: 18.4 Å³ per atom

[12]
# PBE-GGA BeF2, relaxed
data_BeF2
_cell_length_a 4.8020
_cell_length_b 4.8020
_cell_length_c 5.2541
_cell_angle_alpha 90.00
_cell_angle_beta 90.00
_cell_angle_gamma 120.00
_space_group_name_H-M_alt 'P 31 2 1'
_space_group_IT_number 152
_space_group_name_Hall 'P 31 2"'
loop_
_atom_site_label
_atom_site_fract_x
_atom_site_fract_y
_atom_site_fract_z
Be1 0.0000 0.5285 0.1667
F1 0.1509 0.4159 0.3779
# Theoretical density: 2.23 g/cm3
# Energy above the most stable polymorph in this dataset: 0.000 eV per atom
# Calculated volume: 11.7 Å³ per atom
# Formation energy without anion corrections: -3.273 eV per atom

[13]
# PBE-GGA CrAsAuSe2, relaxed
data_CrAsAuSe2
_cell_length_a 4.6428
_cell_length_b 4.6428
_cell_length_c 4.8217
_cell_angle_alpha 90.00
_cell_angle_beta 90.00
_cell_angle_gamma 90.00
_space_group_name_H-M_alt 'P 4/m m m'
_space_group_IT_number 123
_space_group_name_Hall '-P 4 2'
loop_
_atom_site_label
_atom_site_fract_x
_atom_site_fract_y
_atom_site_fract_z
Cr1 0.0000 0.0000 0.0000
As1 0.0000 0.0000 0.5000
Au1 0.5000 0.5000 0.5000
Se1 0.0000 0.5000 0.0000
# Theoretical density: 7.70 g/cm3
# Energy above the most stable polymorph in this dataset: 0.000 eV per atom
# Calculated volume: 20.8 Å³ per atom
# Formation energy without anion corrections: 0.445 eV per atom

Number 1: magnetic moment 0.00 Bohr magnetons per cell. Number 2: magnetic moment 0.00 Bohr magnetons per cell. Number 3: magnetic moment 0.00 Bohr magnetons per cell. Number 4: magnetic moment 0.00 Bohr magnetons per cell. Number 5: magnetic moment 12.99 Bohr magnetons per cell. Number 6: magnetic moment 0.00 Bohr magnetons per cell. Number 7: magnetic moment 0.00 Bohr magnetons per cell. Number 8: magnetic moment 0.00 Bohr magnetons per cell. Number 9: magnetic moment 0.00 Bohr magnetons per cell. Number 10: magnetic moment 5.42 Bohr magnetons per cell. Number 11: magnetic moment 0.00 Bohr magnetons per cell. Number 12: magnetic moment 0.00 Bohr magnetons per cell. Number 13: magnetic moment 0.00 Bohr magnetons per cell.